[1]
Entry from the Alexandria database: an optimized crystal structure of Si2SnF (PBE).

Offset from the most stable computed form = 268 meV/atom
E_form (uncorrected) = -35.5 kJ/mol of formula units
Total magnetic moment = 0.00 Bohr magnetons per cell
E = -17.088 eV/cell

Lattice parameters (Å, degrees): 4.5952 4.5952 4.5952 60.00 60.00 60.00
With the nearest neighbours (Å) after each atom.
Element x y z (fractional)
Si  0.7500  0.7500  0.7500  4 F 2.81, 4 Sn 2.81
Si  0.2500  0.2500  0.2500  4 F 2.81, 4 Sn 2.81
Sn  0.5000  0.5000  0.5000  8 Si 2.81
F  0.0000  0.0000  0.0000  8 Si 2.81

[2]
Entry from the Alexandria database: an optimized crystal structure of SiSnF2 (PBE).

Offset from the most stable computed form = 0 meV/atom
E_form (uncorrected) = -512.2 kJ/mol of formula units
Total magnetic moment = 0.00 Bohr magnetons per cell
E = -18.477 eV/cell

Lattice parameters (Å, degrees): 9.6330 9.6330 9.6330 17.68 17.68 17.68
With the nearest neighbours (Å) after each atom.
Element x y z (fractional)
F  0.0585  0.0585  0.0585  1 Si 1.66
F  0.9415  0.9415  0.9415  1 Si 1.66
Si  0.0000  0.0000  0.0000  2 F 1.66
Sn  0.5000  0.5000  0.5000  6 Sn 2.96

[3]
Entry from the Alexandria database: an optimized crystal structure of SiSn2F (PBE).

Offset from the most stable computed form = 0 meV/atom
E_form (uncorrected) = -192.3 kJ/mol of formula units
Total magnetic moment = 0.00 Bohr magnetons per cell
E = -17.293 eV/cell

Lattice parameters (Å, degrees): 4.7802 4.7802 4.7802 60.00 60.00 60.00
With the nearest neighbours (Å) after each atom.
Element x y z (fractional)
Sn  0.2500  0.2500  0.2500  4 F 2.93, 4 Si 2.93
Sn  0.7500  0.7500  0.7500  4 F 2.93, 4 Si 2.93
Si  0.5000  0.5000  0.5000  8 Sn 2.93
F  0.0000  0.0000  0.0000  8 Sn 2.93

Number 3 is which compound?
SiSn2F

Number 3 is which compound?
SiSn2F

The lowest E_form (uncorrected) belongs to which entry?
SiSnF2

E_form (uncorrected) of number 2 (SiSnF2)?
-512.2 kJ/mol of formula units